No. 1
GGA-PBE Zr2HOsPt, optimized geometry; raw total energy = -8.03 eV per atom; total moment = 0.00 μB per formula unit; calculated volume = 75.0 Å³ per cell
1.0
-0.224 -2.101 3.941
-3.238 -2.641 -1.592
2.582 -2.462 -1.166
Os Pt H Zr
1 1 1 2
Cartesian
-0.440 -3.602 0.591
1.291 -1.231 -0.583
0.000 0.000 0.000
-1.619 -1.321 -0.796
-0.112 -1.051 1.970

---

No. 2
GGA-PBE NdSm6Tm8, optimized geometry; raw total energy = -4.46 eV per atom; total moment = 0.00 μB per formula unit; calculated volume = 485.8 Å³ per cell
1.0
-7.270 -5.176 -1.307
-0.321 -8.297 3.523
-5.376 -1.944 6.479
Sm Tm Nd
6 8 1
Cartesian
-10.455 -9.537 6.254
-1.548 -2.678 1.498
-8.326 -11.496 8.179
-11.419 -12.739 7.197
-2.512 -5.880 2.441
-4.641 -3.921 0.516
-7.938 -10.640 4.309
-7.135 -7.125 5.662
-7.539 -5.466 2.211
-9.630 -7.827 3.458
-5.029 -4.777 4.386
-5.428 -9.951 6.484
-3.337 -7.590 5.237
-5.832 -8.292 3.033
0.000 0.000 0.000